Here is FeNi2AsO6 after structural relaxation from the Alexandria database. Energies are from PBE+U.

The space group is R3 (No. 146, hexagonal axes) and the conventional cell measures 5.0617, 5.0617 and 13.5787 Å, with angles of 90.00, 90.00 and 120.00 degrees. The inequivalent atoms are Fe at (0.0000, 0.0000, 0.0000), Ni at (0.0000, 0.0000, 0.2059), Ni at (0.0000, 0.0000, 0.7127), As at (0.0000, 0.0000, 0.5082), O at (0.0162, 0.7175, 0.5999) and O at (0.0384, 0.3349, 0.1070).

As for the crystal system: trigonal. Its calculated total energy is -172.42 eV/cell.